The following is a DFT calculation (PBE with a Hubbard U) of a relaxed CaMnO2 crystal.

Cell and atoms, written as extended XYZ:
```
8
Lattice="3.295 0.000 0.000 0.000 4.722 0.000 0.000 0.000 6.551" Properties=species:S:1:pos:R:3 pbc="T T T"
Ca 0.824 1.180 0.880
Ca 2.471 3.541 5.671
Mn 0.824 1.180 4.076
Mn 2.471 3.541 2.474
O 0.824 3.541 0.878
O 0.824 3.541 3.994
O 2.471 1.180 2.556
O 2.471 1.180 5.673
```

Computed properties:
Total magnetic moment: 5.00 μB per formula unit
Total DFT energy (no corrections): -0.2618 Ha/atom